1.
Entry from the Alexandria database: crystalline Ca3CdH2 at its relaxed geometry (PBE).

Lattice parameters (Å, degrees): 7.326 7.326 5.298 90.00 90.00 103.69
Atoms (fractional coordinates):
Ca (0.106, 0.894, 0.750)
Ca (0.180, 0.405, 0.750)
Ca (0.405, 0.180, 0.250)
Ca (0.595, 0.820, 0.750)
Ca (0.820, 0.595, 0.250)
Ca (0.894, 0.106, 0.250)
Cd (0.309, 0.691, 0.250)
Cd (0.691, 0.309, 0.750)
H (0.151, 0.151, 0.000)
H (0.151, 0.151, 0.500)
H (0.849, 0.849, 0.000)
H (0.849, 0.849, 0.500)

Total energy in eV/atom: -2.675

***

2.
Entry from the Alexandria database: crystalline RbCdReIr2 at its relaxed geometry (PBE).

Lattice parameters (Å, degrees): 4.877 4.877 4.930 90.00 90.00 90.00
Atoms (fractional coordinates):
Rb (0.000, 0.000, 0.000)
Cd (0.500, 0.500, 0.500)
Re (0.000, 0.000, 0.500)
Ir (0.000, 0.500, 0.000)
Ir (0.500, 0.000, 0.000)

E_form in meV per atom: 3353.6